# 1
DFT (PBE) results for an optimized crystal structure of CrHgRh2.

Symmetry   P2/m
ΔH_f (0 K)   5.48 kcal/mol of atoms
Magnetic moment   0.85 μB per atom

Unit cell a=2.902 b=4.890 c=5.524 alpha=53.73 beta=90.00 gamma=90.00
Each line ends with the local moment (μB).
Fractional positions:
Cr 0.500 0.500 0.500  3.15
Hg 0.000 0.000 0.500  0.01
Rh 0.000 0.000 0.000  -0.12
Rh 0.500 0.500 0.000  0.10


# 2
DFT (PBE) results for an optimized crystal structure of Th2GaHg3.

Symmetry   Pmm2
ΔH_f (0 K)   -6.90 kcal/mol of atoms
Magnetic moment   0.00 μB per atom

Unit cell a=3.548 b=4.943 c=8.518 alpha=90.00 beta=90.00 gamma=90.00
Fractional positions:
Th 0.000 0.500 0.009
Th 0.000 0.000 0.494
Ga 0.500 0.500 0.333
Hg 0.500 0.000 0.833
Hg 0.500 0.000 0.172
Hg 0.500 0.500 0.659